1.
The following is a PBE calculation of CaTb3Bi3 after structural relaxation, from Alexandria via LeMat-Bulk.

Summary:
As for the density of states at the Fermi level: 9.54 states/eV per cell. The space-group type is R-3, No. 148. The final energy is -4.618 eV per atom.

Cell lengths 8.271, 8.271, 8.271 Å; angles 67.91, 67.91, 67.91 degrees
Sites, in units of the cell vectors:
1 Ca 0.166 0.166 0.166
2 Ca 0.834 0.834 0.834
3 Tb 0.162 0.414 0.673
4 Tb 0.327 0.838 0.586
5 Tb 0.414 0.673 0.162
6 Tb 0.586 0.327 0.838
7 Tb 0.673 0.162 0.414
8 Tb 0.838 0.586 0.327
9 Bi 0.028 0.801 0.420
10 Bi 0.199 0.580 0.972
11 Bi 0.420 0.028 0.801
12 Bi 0.580 0.972 0.199
13 Bi 0.801 0.420 0.028
14 Bi 0.972 0.199 0.580

=====

2.
The following is a PBE calculation of CaTb3Bi4 after structural relaxation, from Alexandria via LeMat-Bulk.

Summary:
As for the density of states at the Fermi level: 5.90 states/eV per cell. The space-group type is P2/c, No. 13. The final energy is -4.747 eV per atom.

Cell lengths 7.850, 9.068, 7.815 Å; angles 90.00, 109.54, 90.00 degrees
Sites, in units of the cell vectors:
1 Ca 0.000 0.124 0.250
2 Ca 0.000 0.876 0.750
3 Tb 0.000 0.374 0.750
4 Tb 0.000 0.626 0.250
5 Tb 0.500 0.124 0.750
6 Tb 0.500 0.374 0.250
7 Tb 0.500 0.626 0.750
8 Tb 0.500 0.876 0.250
9 Bi 0.252 0.378 0.503
10 Bi 0.252 0.622 0.003
11 Bi 0.256 0.128 0.999
12 Bi 0.256 0.872 0.499
13 Bi 0.744 0.128 0.501
14 Bi 0.744 0.872 0.001
15 Bi 0.748 0.378 0.997
16 Bi 0.748 0.622 0.497

=====

3.
The following is a PBE calculation of Ca2TbThBi4 after structural relaxation, from Alexandria via LeMat-Bulk.

Summary:
As for the density of states at the Fermi level: 5.08 states/eV per cell. The space-group type is P2/m, No. 10. The final energy is -4.693 eV per atom.

Cell lengths 7.930, 4.593, 7.990 Å; angles 90.00, 109.45, 90.00 degrees
Sites, in units of the cell vectors:
1 Ca 0.000 0.000 0.000
2 Ca 0.500 0.500 0.000
3 Tb 0.000 0.500 0.500
4 Th 0.500 0.000 0.500
5 Bi 0.244 0.000 0.742
6 Bi 0.248 0.500 0.255
7 Bi 0.752 0.500 0.745
8 Bi 0.756 0.000 0.258

=====

4.
The following is a PBE calculation of Ca3TbTh2Bi6 after structural relaxation, from Alexandria via LeMat-Bulk.

Summary:
As for the density of states at the Fermi level: 6.03 states/eV per cell. The space-group type is C2/m, No. 12. The final energy is -4.811 eV per atom.

Cell lengths 7.979, 7.979, 7.965 Å; angles 99.61, 99.61, 119.98 degrees
Sites, in units of the cell vectors:
1 Ca 0.000 0.000 0.000
2 Ca 0.332 0.668 0.000
3 Ca 0.668 0.332 0.000
4 Tb 0.500 0.500 0.500
5 Th 0.166 0.834 0.500
6 Th 0.834 0.166 0.500
7 Bi 0.089 0.419 0.256
8 Bi 0.252 0.252 0.746
9 Bi 0.419 0.089 0.256
10 Bi 0.581 0.911 0.744
11 Bi 0.748 0.748 0.254
12 Bi 0.911 0.581 0.744